# LiNiSe PBE-GGA relaxed
# * formation energy (no corrections): -529 meV/atom
# * energy above the most stable polymorph in this dataset: 84 meV per atom
# * symmetry: F-43m (216)
# * crystal system: cubic
data_LiNiSe
_chemical_formula_sum 'Li1 Ni1 Se1'
_cell_length_a 3.963
_cell_length_b 3.963
_cell_length_c 3.963
_cell_angle_alpha 60.00
_cell_angle_beta 60.00
_cell_angle_gamma 60.00
_symmetry_space_group_name_H-M 'P 1'
_symmetry_Int_Tables_number 1
_symmetry_space_group_name_Hall 'P 1'
loop_
_atom_site_label
_atom_site_type_symbol
_atom_site_fract_x
_atom_site_fract_y
_atom_site_fract_z
Li1 Li 0.000 0.000 0.000
Ni1 Ni 0.250 0.250 0.250
Se1 Se 0.500 0.500 0.500

# LiNiSe PBE-GGA relaxed
# * formation energy (no corrections): -545 meV/atom
# * energy above the most stable polymorph in this dataset: 68 meV per atom
# * symmetry: C2 (5)
# * crystal system: monoclinic
data_LiNiSe
_chemical_formula_sum 'Li2 Ni2 Se2'
_cell_length_a 4.297
_cell_length_b 4.297
_cell_length_c 7.202
_cell_angle_alpha 114.84
_cell_angle_beta 114.84
_cell_angle_gamma 58.09
_symmetry_space_group_name_H-M 'P 1'
_symmetry_Int_Tables_number 1
_symmetry_space_group_name_Hall 'P 1'
loop_
_atom_site_label
_atom_site_type_symbol
_atom_site_fract_x
_atom_site_fract_y
_atom_site_fract_z
Li1 Li 0.243 0.243 0.155
Li2 Li 0.757 0.757 0.845
Ni1 Ni 0.288 0.347 0.619
Ni2 Ni 0.653 0.712 0.381
Se1 Se 0.177 0.823 0.500
Se2 Se 0.501 0.499 0.000

# LiNiSe PBE-GGA relaxed
# * formation energy (no corrections): -539 meV/atom
# * energy above the most stable polymorph in this dataset: 74 meV per atom
# * symmetry: P-1 (2)
# * crystal system: triclinic
data_LiNiSe
_chemical_formula_sum 'Li2 Ni2 Se2'
_cell_length_a 4.038
_cell_length_b 4.932
_cell_length_c 6.368
_cell_angle_alpha 70.31
_cell_angle_beta 71.82
_cell_angle_gamma 66.07
_symmetry_space_group_name_H-M 'P 1'
_symmetry_Int_Tables_number 1
_symmetry_space_group_name_Hall 'P 1'
loop_
_atom_site_label
_atom_site_type_symbol
_atom_site_fract_x
_atom_site_fract_y
_atom_site_fract_z
Li1 Li 0.042 0.202 0.215
Li2 Li 0.958 0.798 0.785
Ni1 Ni 0.265 0.582 0.387
Ni2 Ni 0.735 0.418 0.613
Se1 Se 0.260 0.226 0.756
Se2 Se 0.740 0.774 0.244